Compound: ZrGaNO2
Source: Alexandria
Functional: PBE
Structure: optimized geometry

The value obtained for the energy relative to the elements, uncorrected is -998.8 meV per atom.

It has space group P4/mmm (No. 123), with a = 4.1203 Å, b = 4.1203 Å, c = 4.4134 Å, α = 90.00°, β = 90.00° and γ = 90.00°. The distinct sites, in fractional coordinates, are Zr at (0.0000, 0.0000, 0.0000), Ga at (0.5000, 0.5000, 0.5000), N at (0.0000, 0.0000, 0.5000) and O at (0.0000, 0.5000, 0.0000).

=====

Compound: Sc2TiTc2
Source: Alexandria
Functional: PBE
Structure: optimized geometry

The formation energy is -0.11 eV per atom.

It has space group P4/mbm (No. 127), with a = 6.5137 Å, b = 6.5137 Å, c = 4.3785 Å, α = 90.00°, β = 90.00° and γ = 90.00°. The distinct sites, in fractional coordinates, are Sc at (0.1734, 0.3266, 0.0000), Ti at (0.0000, 0.0000, 0.5000) and Tc at (0.1359, 0.6359, 0.5000).

=====

Compound: CaCd4In4
Source: Alexandria
Functional: PBE
Structure: optimized geometry

The calculation puts the offset from the most stable computed form at 0.000 eV/atom. The formation energy is -0.11 eV per atom.

It has space group I4/mmm (No. 139), with a = 10.0669 Å, b = 10.0669 Å, c = 4.4766 Å, α = 90.00°, β = 90.00° and γ = 90.00°. The distinct sites, in fractional coordinates, are Ca at (0.0000, 0.0000, 0.0000), Cd at (0.0000, 0.3422, 0.0000) and In at (0.1726, 0.1726, 0.5000).

=====

Compound: MgSb3W
Source: Alexandria
Functional: PBE
Structure: optimized geometry

The calculation puts the offset from the most stable computed form at 1.087 eV/atom. The value obtained for the energy relative to the elements, uncorrected is 1686.6 meV per atom.

It has space group Pm-3m (No. 221), with a = 5.1554 Å, b = 5.1554 Å, c = 5.1554 Å, α = 90.00°, β = 90.00° and γ = 90.00°. The distinct sites, in fractional coordinates, are Mg at (0.0000, 0.0000, 0.0000), Sb at (0.0000, 0.0000, 0.5000) and W at (0.5000, 0.5000, 0.5000).